PBE Rb3Pm3TaS8, relaxed; formation energy (no corrections) = -1614 meV per atom
1.0
-6.910 -4.138 -0.278
6.264 -2.309 -4.515
0.654 -1.694 8.973
Rb Pm Ta S
3 3 1 8
Cartesian
0.000 0.000 0.000
3.132 -1.155 -2.257
-0.323 -3.223 -2.397
-3.128 -2.916 4.347
0.004 -4.071 2.090
3.459 -2.002 2.229
0.327 -0.847 4.487
1.695 -2.844 0.212
-1.687 -5.298 3.968
-1.623 -5.139 0.019
1.631 -3.002 4.161
-5.069 -3.869 2.504
5.078 -4.272 1.676
-1.267 -1.592 2.657
1.275 -6.549 1.523

=====

A relaxed ScH2 crystal, computed with PBE.

```
ScH2
1.0
3.239 0.000 0.000
0.000 3.317 0.000
0.000 0.000 4.911
Sc H
2 4
Cartesian
1.620 1.658 0.274
0.000 0.000 2.818
0.000 1.658 1.490
1.620 1.658 3.096
1.620 0.000 1.543
1.620 0.000 4.136
```

=====

PBE Pr2Mg2SnPd5, relaxed; energy of formation = -0.59 eV/atom
1.0
-1.364 0.339 -3.505
1.217 -10.112 -1.451
-9.515 -1.654 3.544
Pr Mg Sn Pd
4 4 2 10
Cartesian
-0.879 -7.166 -0.350
-7.419 -4.600 2.443
-2.833 -2.344 0.876
-5.465 -9.422 1.217
-5.747 -2.230 2.021
-2.551 -9.536 0.071
-7.627 -7.718 2.223
-0.671 -4.047 -0.130
0.000 0.000 0.000
-4.149 -5.883 1.046
-0.987 -2.000 -1.844
-8.675 -9.427 0.431
-8.176 -1.735 0.980
-4.027 -7.690 -1.210
-1.486 -9.692 -2.393
-5.635 -3.737 -0.202
-6.711 -6.642 -0.064
-2.952 -4.785 -1.348
-0.074 -4.887 -2.478
-5.440 -0.658 0.019

=====

PBE Ba2LiTl6Pt, relaxed; energy of formation = -0.24 eV/atom
1.0
-3.609 6.627 1.044
-4.969 -3.421 4.650
-1.084 2.670 7.030
Ba Li Tl Pt
2 1 6 1
Cartesian
-5.172 0.423 7.264
-4.491 5.452 5.460
-4.289 1.603 2.847
-4.620 -0.843 3.724
-7.483 5.046 11.236
-2.759 2.132 4.900
-5.042 6.718 9.000
-2.179 0.829 1.488
-6.904 3.743 7.824
0.000 0.000 0.000

=====

PBE VNi15Sb4, relaxed; formation energy (no corrections) = -150 meV per atom
1.0
3.706 0.000 0.000
0.000 3.706 0.000
0.000 0.000 18.415
V Ni Sb
1 15 4
Cartesian
0.000 0.000 0.000
1.853 1.853 0.000
1.853 1.853 3.571
1.853 1.853 7.335
1.853 1.853 11.079
1.853 1.853 14.843
1.853 0.000 1.655
1.853 0.000 5.454
1.853 0.000 9.207
1.853 0.000 12.961
1.853 0.000 16.760
0.000 1.853 1.655
0.000 1.853 5.454
0.000 1.853 9.207
0.000 1.853 12.961
0.000 1.853 16.760
0.000 0.000 3.580
0.000 0.000 7.326
0.000 0.000 11.088
0.000 0.000 14.835

=====

PBE TbCe2, relaxed; energy of formation = 0.08 eV/atom; excess energy over the best structure of this formula in the dataset = 0 meV/atom
1.0
-1.967 0.414 -2.773
-2.792 -0.596 1.891
1.832 7.305 1.907
Tb Ce
1 2
Cartesian
0.000 0.000 0.000
-2.569 2.406 0.067
-0.358 4.717 0.959

=====

PBE TiRe2TcNi, relaxed; energy of formation = 1.56 eV/atom
1.0
4.648 0.000 0.000
0.000 4.648 0.000
0.000 0.000 4.413
Re Ti Tc Ni
2 1 1 1
Cartesian
0.000 2.324 0.000
2.324 0.000 0.000
2.324 2.324 2.207
0.000 0.000 0.000
0.000 0.000 2.207

=====

PBE Zr2TaMo, relaxed; energy of formation = 0.17 eV/atom; excess energy over the best structure of this formula in the dataset = 189 meV/atom
1.0
9.383 -0.016 -0.010
8.848 3.122 -0.010
8.848 1.507 2.734
Mo Ta Zr
1 1 2
Cartesian
13.419 2.286 1.345
20.556 3.502 2.061
0.114 0.019 0.011
6.529 1.112 0.655

=====

PBE NaEuDyAl, relaxed; energy of formation = 0.00 eV/atom
1.0
5.435 0.000 0.000
2.717 4.707 0.000
2.717 1.569 4.437
Eu Na Al Dy
1 1 1 1
Cartesian
2.717 1.569 1.109
5.435 3.138 2.219
0.000 0.000 0.000
8.152 4.707 3.328

=====

PBE MnHgBr2, relaxed; formation energy (no corrections) = -434 meV per atom; excess energy over the best structure of this formula in the dataset = 133 meV/atom
1.0
-2.565 1.590 2.058
0.523 -2.981 2.954
6.879 4.115 5.395
Br Hg Mn
2 1 1
Cartesian
6.765 1.092 7.587
4.338 0.609 4.936
0.568 1.078 3.116
4.269 1.645 7.291

=====

PBE K2InW, relaxed; energy of formation = 1.19 eV/atom
1.0
-2.613 1.229 0.496
-1.551 -0.974 -5.759
-2.223 -5.332 1.500
In K W
1 2 1
Cartesian
-3.749 -3.872 -1.507
-0.008 -0.020 0.006
-1.103 -2.647 0.745
-2.637 -1.206 -2.257

=====

PBE K4SrCa, relaxed; energy of formation = 0.19 eV/atom
1.0
0.000 5.674 5.674
5.674 0.000 5.674
5.674 5.674 0.000
K Sr Ca
4 1 1
Cartesian
7.095 4.253 7.095
4.253 7.095 7.095
7.095 7.095 4.253
4.253 4.253 4.253
8.511 8.511 8.511
0.000 0.000 0.000

=====

no.,electronic total energy (eV/cell),total moment (μB per cell)
1,-86.23,0.81
2,-29.35,0.00
3,-97.18,0.00
4,-28.35,0.00
5,-115.34,0.00
6,-16.27,0.00
7,-41.15,0.00
8,-39.09,0.00
9,-19.92,7.31
10,-14.55,5.00
11,-13.13,0.06
12,-6.94,0.00